Record 1
Density functional theory data (PBE) for a relaxed structure of Cs2AgPF6.

abc: 6.407 6.407 6.407
angles: 60.00 60.00 60.00
Atoms (fractional coordinates):
Cs  0.250  0.250  0.250
Cs  0.750  0.750  0.750
Ag  0.000  0.000  0.000
P  0.500  0.500  0.500
F  0.280  0.280  0.720
F  0.280  0.720  0.280
F  0.280  0.720  0.720
F  0.720  0.280  0.280
F  0.720  0.280  0.720
F  0.720  0.720  0.280

The value obtained for the density of states at the Fermi level is 0.00 states/eV/f.u.



Record 2
Density functional theory data (PBE) for a relaxed structure of CsPaAg2F8.

abc: 9.955 9.955 9.955
angles: 31.01 31.01 31.01
Atoms (fractional coordinates):
Cs  0.000  0.000  0.000
Pa  0.500  0.500  0.500
Ag  0.276  0.276  0.276
Ag  0.724  0.724  0.724
F  0.125  0.488  0.747
F  0.253  0.512  0.875
F  0.352  0.352  0.352
F  0.488  0.747  0.125
F  0.512  0.875  0.253
F  0.648  0.648  0.648
F  0.747  0.125  0.488
F  0.875  0.253  0.512



Record 3
Density functional theory data (PBE) for a relaxed structure of CsAgPbF4.

abc: 6.564 6.253 7.836
angles: 90.00 102.46 90.00
Atoms (fractional coordinates):
Cs  0.166  0.250  0.092
Cs  0.834  0.750  0.908
Ag  0.392  0.250  0.716
Ag  0.608  0.750  0.284
Pb  0.183  0.750  0.473
Pb  0.817  0.250  0.527
F  0.104  0.008  0.691
F  0.104  0.492  0.691
F  0.264  0.750  0.171
F  0.444  0.250  0.422
F  0.556  0.750  0.578
F  0.736  0.250  0.829
F  0.896  0.508  0.309
F  0.896  0.992  0.309

The value obtained for the density of states at the Fermi level is 0.00 states/eV/f.u.



Record 4
Density functional theory data (PBE) for a relaxed structure of CsAg2PbF8.

abc: 5.114 5.680 8.296
angles: 78.51 81.36 86.08
Atoms (fractional coordinates):
Cs  0.000  0.000  0.000
Ag  0.429  0.476  0.223
Ag  0.571  0.524  0.777
Pb  0.000  0.000  0.500
F  0.125  0.756  0.704
F  0.201  0.792  0.329
F  0.327  0.228  0.465
F  0.471  0.275  0.011
F  0.529  0.725  0.989
F  0.673  0.772  0.535
F  0.799  0.208  0.671
F  0.875  0.244  0.296

The value obtained for the density of states at the Fermi level is 1.81 states/eV/f.u.



Record 5
Density functional theory data (PBE) for a relaxed structure of Cs2Ag2PbF7.

abc: 11.934 11.934 11.934
angles: 158.11 158.11 31.15
Atoms (fractional coordinates):
Cs  0.179  0.179  0.000
Cs  0.821  0.821  0.000
Ag  0.405  0.405  0.000
Ag  0.595  0.595  0.000
Pb  0.000  0.000  0.000
F  0.072  0.572  0.500
F  0.307  0.307  0.000
F  0.428  0.928  0.500
F  0.500  0.500  0.000
F  0.572  0.072  0.500
F  0.693  0.693  0.000
F  0.928  0.428  0.500

The value obtained for the density of states at the Fermi level is 4.44 states/eV/f.u.



Record 6
Density functional theory data (PBE) for a relaxed structure of Cs3Ag2PbF9.

abc: 6.525 6.525 8.064
angles: 90.00 90.00 120.00
Atoms (fractional coordinates):
Cs  0.000  0.000  0.000
Cs  0.333  0.667  0.690
Cs  0.667  0.333  0.310
Ag  0.333  0.667  0.163
Ag  0.667  0.333  0.837
Pb  0.000  0.000  0.500
F  0.000  0.500  0.000
F  0.166  0.332  0.335
F  0.166  0.834  0.335
F  0.332  0.166  0.665
F  0.500  0.000  0.000
F  0.500  0.500  0.000
F  0.668  0.834  0.335
F  0.834  0.166  0.665
F  0.834  0.668  0.665

The value obtained for the density of states at the Fermi level is 5.75 states/eV/f.u.



The calculation returns the following total DFT energy (no corrections) values, one per record and in order: -4.23, -5.18, -4.16, -3.85, -3.93, -4.02 eV per atom.